Density functional theory data (PBE with a Hubbard U) for a relaxed V3WO crystal.

Computed properties:
magnetization: 6.77 μB per formula unit
distance to the lowest polymorph of the same formula: 2.0612 eV per atom
symmetry: Pm-3m

```
data_V3WO
_chemical_formula_sum 'V3 W1 O1'
_cell_length_a 4.929
_cell_length_b 4.929
_cell_length_c 4.929
_cell_angle_alpha 90.00
_cell_angle_beta 90.00
_cell_angle_gamma 90.00
_symmetry_space_group_name_H-M 'P 1'
_symmetry_Int_Tables_number 1
loop_
_symmetry_equiv_pos_as_xyz
'x,y,z'
loop_
_atom_site_label
_atom_site_type_symbol
_atom_site_fract_x
_atom_site_fract_y
_atom_site_fract_z
W1 W 0.000 0.000 0.000
O1 O 0.500 0.500 0.500
V1 V 0.000 0.500 0.000
V2 V 0.000 0.000 0.500
V3 V 0.500 0.000 0.000
```